DFT (PBE+U) results for crystalline HfFe2F at its relaxed geometry.

Lattice parameters (Å, degrees): 4.5492 4.5492 4.5492 60.00 60.00 60.00
Last column: nearest neighbours and their distance in Å.
Fractional positions:
1 Hf 0.5000 0.5000 0.5000  8 Fe 2.79
2 Fe 0.2500 0.2500 0.2500  4 Hf 2.79, 4 F 2.79
3 Fe 0.7500 0.7500 0.7500  4 Hf 2.79, 4 F 2.79
4 F 0.0000 0.0000 0.0000  8 Fe 2.79

Summary:
Calculated volume ... 16.643 Å³/atom
Fermi-level density of states ... 0.6743 states/eV per atom
SG ... Fm-3m
Total magnetization ... 5.5 μB/f.u.
Raw total energy ... -5.0844 eV/atom
Relative energy among the computed polymorphs ... 604 meV per atom